## Sm8Ag2Ru3 (GGA-PBE)

Data for Sm8Ag2Ru3 after structural relaxation.

Calculated values
D(E_F)	7.92	states/eV/cell
crystal system	monoclinic
uncorrected energy	-5.660	eV/atom

Unit cell a=4.960 b=9.919 c=8.837 alpha=124.20 beta=90.00 gamma=90.00
Fractional coordinates of all 13 atoms:
Sm1 0.000 0.611 0.224
Sm2 0.000 0.389 0.776
Sm3 0.000 0.114 0.230
Sm4 0.000 0.886 0.770
Sm5 0.500 0.640 0.773
Sm6 0.500 0.136 0.775
Sm7 0.500 0.864 0.225
Sm8 0.500 0.360 0.227
Ag1 0.500 0.253 0.506
Ag2 0.500 0.747 0.494
Ru1 0.500 0.000 0.000
Ru2 0.000 0.250 0.000
Ru3 0.000 0.750 0.000